An optimized crystal structure of VCrRu, computed with PBE.

Cell lengths 4.937, 4.937, 4.937 Å; angles 145.27, 145.27, 49.93 degrees
Atoms (fractional coordinates):
V1 0.000 0.000 0.000
Cr1 0.348 0.348 0.000
Ru1 0.672 0.672 0.000

Raw total energy, eV for the cell shown: -28.3
Distance to the lowest polymorph of the same formula, meV/atom: 37
Crystal system: tetragonal
Symmetry: I4mm (107)
ΔE_f, eV per atom: -0.109

=====

An optimized crystal structure of V12Cr2Ru5, computed with PBE.

Cell lengths 7.314, 7.314, 7.034 Å; angles 103.44, 103.44, 46.18 degrees
Atoms (fractional coordinates):
V1 0.012 0.012 0.167
V2 0.086 0.602 0.014
V3 0.156 0.557 0.624
V4 0.398 0.914 0.986
V5 0.440 0.440 0.307
V6 0.443 0.844 0.376
V7 0.557 0.156 0.624
V8 0.560 0.560 0.693
V9 0.602 0.086 0.014
V10 0.844 0.443 0.376
V11 0.914 0.398 0.986
V12 0.988 0.988 0.833
Cr1 0.183 0.817 0.500
Cr2 0.817 0.183 0.500
Ru1 0.185 0.185 0.698
Ru2 0.251 0.251 0.280
Ru3 0.500 0.500 0.000
Ru4 0.749 0.749 0.720
Ru5 0.815 0.815 0.302

Raw total energy, eV for the cell shown: -172.8
Crystal system: monoclinic
Symmetry: C2/m (12)
ΔE_f, eV per atom: 0.118

=====

An optimized crystal structure of V2CrRu2, computed with PBE.

Cell lengths 7.023, 7.023, 2.830 Å; angles 90.00, 90.00, 90.00 degrees
Atoms (fractional coordinates):
V1 0.151 0.349 0.000
V2 0.349 0.849 0.000
V3 0.651 0.151 0.000
V4 0.849 0.651 0.000
Cr1 0.000 0.000 0.000
Cr2 0.500 0.500 0.000
Ru1 0.152 0.652 0.500
Ru2 0.348 0.152 0.500
Ru3 0.652 0.848 0.500
Ru4 0.848 0.348 0.500

Raw total energy, eV for the cell shown: -91.6
Distance to the lowest polymorph of the same formula, meV/atom: 173
Crystal system: tetragonal
Symmetry: P4/mbm (127)
ΔE_f, eV per atom: 0.123

=====

An optimized crystal structure of VCrRu4, computed with PBE.

Cell lengths 6.845, 6.845, 6.845 Å; angles 145.95, 79.39, 110.83 degrees
Atoms (fractional coordinates):
V1 0.335 0.085 0.250
V2 0.665 0.915 0.750
Cr1 0.089 0.339 0.750
Cr2 0.911 0.661 0.250
Ru1 0.070 0.141 0.929
Ru2 0.237 0.626 0.612
Ru3 0.288 0.859 0.429
Ru4 0.486 0.374 0.112
Ru5 0.514 0.626 0.888
Ru6 0.712 0.141 0.571
Ru7 0.763 0.374 0.388
Ru8 0.930 0.859 0.071

Raw total energy, eV for the cell shown: -111.5
Crystal system: orthorhombic
Symmetry: Imma (74)
ΔE_f, eV per atom: 0.019

=====

An optimized crystal structure of V2CrRu3, computed with PBE.

Cell lengths 6.706, 6.706, 3.010 Å; angles 90.00, 90.00, 142.82 degrees
Atoms (fractional coordinates):
V1 0.162 0.838 0.000
V2 0.838 0.162 0.000
Cr1 0.500 0.500 0.000
Ru1 0.000 0.000 0.500
Ru2 0.329 0.671 0.500
Ru3 0.671 0.329 0.500

Raw total energy, eV for the cell shown: -56.5
Crystal system: orthorhombic
Symmetry: Cmmm (65)
ΔE_f, eV per atom: -0.136

=====

An optimized crystal structure of CrRuW2, computed with PBE.

Cell lengths 4.355, 4.355, 4.355 Å; angles 60.00, 60.00, 60.00 degrees
Atoms (fractional coordinates):
Cr1 0.000 0.000 0.000
Ru1 0.500 0.500 0.500
W1 0.250 0.250 0.250
W2 0.750 0.750 0.750

Raw total energy, eV for the cell shown: -44.0
Distance to the lowest polymorph of the same formula, meV/atom: 77
Crystal system: cubic
Symmetry: Fm-3m (225)
ΔE_f, eV per atom: 0.198

=====

An optimized crystal structure of Cr3RuW, computed with PBE.

Cell lengths 4.345, 4.345, 4.345 Å; angles 90.00, 90.00, 90.00 degrees
Atoms (fractional coordinates):
Cr1 0.000 0.000 0.500
Cr2 0.000 0.500 0.000
Cr3 0.500 0.000 0.000
Ru1 0.000 0.000 0.000
W1 0.500 0.500 0.500

Raw total energy, eV for the cell shown: -42.4
Crystal system: cubic
Symmetry: Pm-3m (221)
ΔE_f, eV per atom: 1.743

=====

An optimized crystal structure of Cr2Ru2W, computed with PBE.

Cell lengths 7.155, 7.155, 2.708 Å; angles 90.00, 90.00, 90.00 degrees
Atoms (fractional coordinates):
Cr1 0.167 0.333 0.000
Cr2 0.333 0.833 0.000
Cr3 0.667 0.167 0.000
Cr4 0.833 0.667 0.000
Ru1 0.132 0.632 0.500
Ru2 0.368 0.132 0.500
Ru3 0.632 0.868 0.500
Ru4 0.868 0.368 0.500
W1 0.000 0.000 0.500
W2 0.500 0.500 0.500

Raw total energy, eV for the cell shown: -99.1
Distance to the lowest polymorph of the same formula, meV/atom: 35
Crystal system: tetragonal
Symmetry: P4/mbm (127)
ΔE_f, eV per atom: 0.240